# CoAuSeO

An optimized crystal structure of CoAuSeO (GGA+U, OQMD).

a = 3.836 Å, b = 6.987 Å, c = 5.422 Å
α = 90.00°, β = 90.00°, γ = 90.00°
Element x y z (fractional)
Au  0.000  0.308  0.137
Au  0.000  0.692  0.637
Co  0.500  0.865  0.027
Co  0.500  0.135  0.527
O  0.500  0.107  0.176
O  0.500  0.893  0.676
Se  0.000  0.669  0.150
Se  0.000  0.331  0.650

Computed properties:
* magnetic moment: 0.69 μB/atom
* calculated total energy: -35.00 eV per cell